[1]
The following is a GGA-PBE calculation of a relaxed Ba2CeGeO6 crystal, from Alexandria via LeMat-Bulk.

```
data_Ba2CeGeO6
_space_group_name_H-M_alt 'F m -3 m'
_space_group_IT_number 225
_space_group_name_Hall '-F 4 2 3'
_cell_length_a 8.402
_cell_length_b 8.402
_cell_length_c 8.402
_cell_angle_alpha 90.00
_cell_angle_beta 90.00
_cell_angle_gamma 90.00
loop_
_atom_site_label
_atom_site_fract_x
_atom_site_fract_y
_atom_site_fract_z
Ba1 0.250 0.250 0.250
Ce1 0.000 0.000 0.000
Ge1 0.000 0.000 0.500
O1 0.000 0.000 0.267
```

Results
ΔE_f (raw) = -2.689 eV per atom
Magnetic moment = 0.0 μB/f.u.

=====

[2]
The following is a GGA-PBE calculation of a relaxed ZnCr2SeS crystal, from Alexandria via LeMat-Bulk.

```
data_ZnCr2SeS
_space_group_name_H-M_alt 'P 4/m m m'
_space_group_IT_number 123
_space_group_name_Hall '-P 4 2'
_cell_length_a 4.710
_cell_length_b 4.710
_cell_length_c 4.641
_cell_angle_alpha 90.00
_cell_angle_beta 90.00
_cell_angle_gamma 90.00
loop_
_atom_site_label
_atom_site_fract_x
_atom_site_fract_y
_atom_site_fract_z
Zn1 0.000 0.000 0.000
Cr1 0.000 0.500 0.500
Se1 0.500 0.500 0.000
S1 0.000 0.000 0.500
```

Results
ΔE_f (raw) = 0.288 eV per atom
Magnetic moment = 9.0 μB/f.u.

=====

[3]
The following is a GGA-PBE calculation of a relaxed Sm4ScAs5 crystal, from Alexandria via LeMat-Bulk.

```
data_Sm4ScAs5
_space_group_name_H-M_alt 'I 4/m'
_space_group_IT_number 87
_space_group_name_Hall '-I 4'
_cell_length_a 9.281
_cell_length_b 9.281
_cell_length_c 5.895
_cell_angle_alpha 90.00
_cell_angle_beta 90.00
_cell_angle_gamma 90.00
loop_
_atom_site_label
_atom_site_fract_x
_atom_site_fract_y
_atom_site_fract_z
Sm1 0.097 0.300 0.000
Sc1 0.000 0.000 0.500
As1 0.000 0.000 0.000
As2 0.097 0.290 0.500
```

Results
Energy above the lowest structure with this stoichiometry = 0.00 kJ/mol of atoms
ΔE_f = -141.6 kJ/mol of atoms
Magnetic moment = 0.0 μB/f.u.

=====

[4]
The following is a GGA-PBE calculation of a relaxed UGeAu2 crystal, from Alexandria via LeMat-Bulk.

```
data_UGeAu2
_space_group_name_H-M_alt 'P 4/m m m'
_space_group_IT_number 123
_space_group_name_Hall '-P 4 2'
_cell_length_a 4.293
_cell_length_b 4.293
_cell_length_c 4.542
_cell_angle_alpha 90.00
_cell_angle_beta 90.00
_cell_angle_gamma 90.00
loop_
_atom_site_label
_atom_site_fract_x
_atom_site_fract_y
_atom_site_fract_z
U1 0.000 0.000 0.000
Ge1 0.500 0.500 0.000
Au1 0.000 0.500 0.500
```

Results
ΔE_f = -4.5 kJ/mol of atoms
Magnetic moment = 2.6 μB/f.u.

=====

[5]
The following is a GGA-PBE calculation of a relaxed TaSi2Tc crystal, from Alexandria via LeMat-Bulk.

```
data_TaSi2Tc
_space_group_name_H-M_alt 'C 1 2/m 1'
_space_group_IT_number 12
_cell_length_a 8.291
_cell_length_b 2.914
_cell_length_c 5.087
_cell_angle_alpha 90.00
_cell_angle_beta 103.08
_cell_angle_gamma 90.00
loop_
_space_group_symop_operation_xyz
'x,y,z'
'-x,-y,-z'
'-x,y,-z'
'x,-y,z'
'x+1/2,y+1/2,z'
'-x+1/2,-y+1/2,-z'
'-x+1/2,y+1/2,-z'
'x+1/2,-y+1/2,z'
loop_
_atom_site_label
_atom_site_fract_x
_atom_site_fract_y
_atom_site_fract_z
Ta1 0.000 0.000 0.000
Si1 0.245 0.000 0.709
Tc1 0.000 0.500 0.500
```

Results
Energy above the lowest structure with this stoichiometry = 29.25 kJ/mol of atoms
ΔE_f (raw) = -0.189 eV per atom
Magnetic moment = 0.0 μB/f.u.

=====

[6]
The following is a GGA-PBE calculation of a relaxed La5Cd6 crystal, from Alexandria via LeMat-Bulk.

```
data_La5Cd6
_space_group_name_H-M_alt 'I m m m'
_space_group_IT_number 71
_space_group_name_Hall '-I 2 2'
_cell_length_a 5.521
_cell_length_b 7.583
_cell_length_c 16.258
_cell_angle_alpha 90.00
_cell_angle_beta 90.00
_cell_angle_gamma 90.00
loop_
_atom_site_label
_atom_site_fract_x
_atom_site_fract_y
_atom_site_fract_z
La1 0.000 0.000 0.000
La2 0.000 0.000 0.314
La3 0.000 0.500 0.338
Cd1 0.000 0.210 0.500
Cd2 0.000 0.289 0.148
```

Results
ΔE_f = -20.6 kJ/mol of atoms
Magnetic moment = 1.0 μB/f.u.

=====

[7]
The following is a GGA-PBE calculation of a relaxed TaTl2Si crystal, from Alexandria via LeMat-Bulk.

```
data_TaTl2Si
_space_group_name_H-M_alt 'C m m m'
_space_group_IT_number 65
_space_group_name_Hall '-C 2 2'
_cell_length_a 3.700
_cell_length_b 4.958
_cell_length_c 9.365
_cell_angle_alpha 90.00
_cell_angle_beta 90.00
_cell_angle_gamma 90.00
loop_
_atom_site_label
_atom_site_fract_x
_atom_site_fract_y
_atom_site_fract_z
Ta1 0.000 0.000 0.000
Tl1 0.000 0.500 0.252
Si1 0.000 0.000 0.500
```

Results
Energy above the lowest structure with this stoichiometry = 43.45 kJ/mol of atoms
ΔE_f (raw) = 0.730 eV per atom
Magnetic moment = 0.0 μB/f.u.

=====

[8]
The following is a GGA-PBE calculation of a relaxed Nb2CoSbIr crystal, from Alexandria via LeMat-Bulk.

```
data_Nb2CoSbIr
_space_group_name_H-M_alt 'P 4/m m m'
_space_group_IT_number 123
_space_group_name_Hall '-P 4 2'
_cell_length_a 4.526
_cell_length_b 4.526
_cell_length_c 4.651
_cell_angle_alpha 90.00
_cell_angle_beta 90.00
_cell_angle_gamma 90.00
loop_
_atom_site_label
_atom_site_fract_x
_atom_site_fract_y
_atom_site_fract_z
Nb1 0.000 0.500 0.000
Co1 0.000 0.000 0.000
Sb1 0.500 0.500 0.500
Ir1 0.000 0.000 0.500
```

Results
ΔE_f (raw) = 0.600 eV per atom
Magnetic moment = 0.0 μB/f.u.

=====

[9]
The following is a GGA-PBE calculation of a relaxed TlAgP2Se4 crystal, from Alexandria via LeMat-Bulk.

```
data_TlAgP2Se4
_space_group_name_H-M_alt 'I 2 2 2'
_space_group_IT_number 23
_cell_length_a 6.045
_cell_length_b 8.025
_cell_length_c 9.455
_cell_angle_alpha 90.00
_cell_angle_beta 90.00
_cell_angle_gamma 90.00
loop_
_space_group_symop_operation_xyz
'x,y,z'
'-x,-y,z'
'x,-y,-z'
'-x,y,-z'
'x+1/2,y+1/2,z+1/2'
'-x+1/2,-y+1/2,z+1/2'
'x+1/2,-y+1/2,-z+1/2'
'-x+1/2,y+1/2,-z+1/2'
loop_
_atom_site_label
_atom_site_fract_x
_atom_site_fract_y
_atom_site_fract_z
Tl1 0.000 0.000 0.000
Ag1 0.000 0.000 0.500
P1 0.000 0.500 0.112
Se1 0.238 0.155 0.293
```

Results
ΔE_f (raw) = 0.080 eV per atom
Magnetic moment = 0.0 μB/f.u.

=====

[10]
The following is a GGA-PBE calculation of a relaxed DyHoNiIr crystal, from Alexandria via LeMat-Bulk.

```
data_DyHoNiIr
_space_group_name_H-M_alt 'F -4 3 m'
_space_group_IT_number 216
_space_group_name_Hall 'F -4 2 3'
_cell_length_a 6.800
_cell_length_b 6.800
_cell_length_c 6.800
_cell_angle_alpha 90.00
_cell_angle_beta 90.00
_cell_angle_gamma 90.00
loop_
_atom_site_label
_atom_site_fract_x
_atom_site_fract_y
_atom_site_fract_z
Dy1 0.000 0.000 0.000
Ho1 0.000 0.000 0.500
Ni1 0.250 0.250 0.750
Ir1 0.250 0.250 0.250
```

Results
ΔE_f = -63.8 kJ/mol of atoms
Magnetic moment = 0.0 μB/f.u.

=====

[11]
The following is a GGA-PBE calculation of a relaxed KNa2Cd2Bi2 crystal, from Alexandria via LeMat-Bulk.

```
data_KNa2Cd2Bi2
_space_group_name_H-M_alt 'R -3 m'
_space_group_IT_number 166
_space_group_name_Hall '-R 3 2"'
_cell_length_a 5.1077
_cell_length_b 5.1077
_cell_length_c 29.4354
_cell_angle_alpha 90.00
_cell_angle_beta 90.00
_cell_angle_gamma 120.00
loop_
_atom_site_label
_atom_site_fract_x
_atom_site_fract_y
_atom_site_fract_z
K1 0.0000 0.0000 0.0000
Na1 0.0000 0.0000 0.1414
Cd1 0.0000 0.0000 0.4450
Bi1 0.0000 0.0000 0.2534
```

Results
ΔE_f = -27.2 kJ/mol of atoms
Magnetic moment = 0.0 μB/f.u.

=====

[12]
The following is a GGA-PBE calculation of a relaxed PrNd2Pd crystal, from Alexandria via LeMat-Bulk.

```
data_PrNd2Pd
_space_group_name_H-M_alt 'P n m a'
_space_group_IT_number 62
_cell_length_a 7.291
_cell_length_b 10.156
_cell_length_c 6.656
_cell_angle_alpha 90.00
_cell_angle_beta 90.00
_cell_angle_gamma 90.00
loop_
_space_group_symop_operation_xyz
'x,y,z'
'-x,-y,-z'
'-x+1/2,-y,z+1/2'
'x+1/2,y,-z+1/2'
'x+1/2,-y+1/2,-z+1/2'
'-x+1/2,y+1/2,z+1/2'
'-x,y+1/2,-z'
'x,-y+1/2,z'
loop_
_atom_site_label
_atom_site_fract_x
_atom_site_fract_y
_atom_site_fract_z
Pr1 0.025 0.250 0.142
Nd1 0.180 0.060 0.668
Pd1 0.115 0.750 0.424
```

Results
Energy above the lowest structure with this stoichiometry = 0.00 kJ/mol of atoms
ΔE_f = -38.9 kJ/mol of atoms
Magnetic moment = 0.0 μB/f.u.

=====

Q: What is the magnetic moment in the second record?
A: 9.0 μB/f.u.

=====

What did the ninth record say?
The following is a GGA-PBE calculation of a relaxed TlAgP2Se4 crystal, from Alexandria via LeMat-Bulk.

```
data_TlAgP2Se4
_space_group_name_H-M_alt 'I 2 2 2'
_space_group_IT_number 23
_cell_length_a 6.045
_cell_length_b 8.025
_cell_length_c 9.455
_cell_angle_alpha 90.00
_cell_angle_beta 90.00
_cell_angle_gamma 90.00
loop_
_space_group_symop_operation_xyz
'x,y,z'
'-x,-y,z'
'x,-y,-z'
'-x,y,-z'
'x+1/2,y+1/2,z+1/2'
'-x+1/2,-y+1/2,z+1/2'
'x+1/2,-y+1/2,-z+1/2'
'-x+1/2,y+1/2,-z+1/2'
loop_
_atom_site_label
_atom_site_fract_x
_atom_site_fract_y
_atom_site_fract_z
Tl1 0.000 0.000 0.000
Ag1 0.000 0.000 0.500
P1 0.000 0.500 0.112
Se1 0.238 0.155 0.293
```

Results
ΔE_f (raw) = 0.080 eV per atom
Magnetic moment = 0.0 μB/f.u.

=====

Q: Number 8 is which compound?
A: Nb2CoSbIr

=====

Q: Which value of magnetic moment does entry 8 give?
A: 0.0 μB/f.u.